<w>
Ca2NdGd: relaxed, GGA-PBE.

Lattice parameters (Å, degrees): 4.1471 4.1471 8.5924 90.00 90.00 90.00
Last column: nearest neighbours and their distance in Å.
Space group P4/mmm (No. 123)
Inequivalent atoms, fractional coordinates:
Ca 0.0000 0.0000 0.2484 [2 per cell]  4 Gd 3.63, 4 Nd 3.64
Nd 0.5000 0.5000 0.5000 [1 per cell]  8 Ca 3.64
Gd 0.5000 0.5000 0.0000 [1 per cell]  8 Ca 3.63

- density of states at the Fermi level (states/eV/atom) = 1.632
- total moment (μB per formula unit) = 7.477

=====

<x>
Ca2NdGd: relaxed, GGA-PBE.

Lattice parameters (Å, degrees): 8.3864 8.3864 8.3864 90.00 90.00 90.00
Last column: nearest neighbours and their distance in Å.
Space group Fm-3m (No. 225)
Inequivalent atoms, fractional coordinates:
Ca 0.2500 0.2500 0.2500 [8 per cell]  4 Gd 3.63, 4 Nd 3.63
Nd 0.0000 0.0000 0.0000 [4 per cell]  8 Ca 3.63
Gd 0.0000 0.0000 0.5000 [4 per cell]  8 Ca 3.63

- density of states at the Fermi level (states/eV/atom) = 1.777
- total moment (μB per formula unit) = 7.387

=====

<y>
Ca2NdGd: relaxed, GGA-PBE.

Lattice parameters (Å, degrees): 3.6107 3.6107 39.7480 90.00 90.00 120.00
Last column: nearest neighbours and their distance in Å.
Space group R-3m (No. 166, hexagonal axes)
Inequivalent atoms, fractional coordinates:
Ca 0.0000 0.0000 0.0889 [6 per cell]  1 Nd 3.54, 6 Ca 3.61, 3 Gd 3.73
Nd 0.0000 0.0000 0.0000 [3 per cell]  2 Ca 3.54, 6 Nd 3.61
Gd 0.0000 0.0000 0.5000 [3 per cell]  6 Gd 3.61, 6 Ca 3.73

- density of states at the Fermi level (states/eV/atom) = 1.673
- total moment (μB per formula unit) = 8.353

=====

Which structure is most stable? <w>, by 0.5 kJ/mol of atoms over the runner-up.

=====

<w>
CaGd2Os: relaxed, GGA-PBE.

Lattice parameters (Å, degrees): 3.4512 3.4512 9.7792 90.00 90.00 90.00
Last column: nearest neighbours and their distance in Å.
Space group P4/mmm (No. 123)
Inequivalent atoms, fractional coordinates:
Ca 0.0000 0.0000 0.0000 [1 per cell]  4 Ca 3.45
Gd 0.5000 0.5000 0.3295 [2 per cell]  4 Os 2.96
Os 0.0000 0.0000 0.5000 [1 per cell]  8 Gd 2.96

- density of states at the Fermi level (states/eV/atom) = 0.813
- total moment (μB per formula unit) = 14.286

=====

<x>
CaGd2Os: relaxed, GGA-PBE.

Lattice parameters (Å, degrees): 3.9540 3.9540 31.8880 90.00 90.00 120.00
Last column: nearest neighbours and their distance in Å.
Space group R-3m (No. 166, hexagonal axes)
Inequivalent atoms, fractional coordinates:
Ca 0.0000 0.0000 0.0000 [3 per cell]  2 Gd 3.77, 6 Ca 3.95
Gd 0.0000 0.0000 0.1182 [6 per cell]  3 Os 2.76
Os 0.0000 0.0000 0.5000 [3 per cell]  6 Gd 2.76

- density of states at the Fermi level (states/eV/atom) = 0.700
- total moment (μB per formula unit) = 14.229

=====

Which structure is most stable? <w>, by 24.1 kJ/mol of atoms over the runner-up.

=====

<w>
CaGdPb: relaxed, GGA-PBE.

Lattice parameters (Å, degrees): 3.6406 3.6406 14.5785 90.00 90.00 90.00
Last column: nearest neighbours and their distance in Å.
Space group I4mm (No. 107)
Inequivalent atoms, fractional coordinates:
Ca 0.0000 0.0000 0.0000 [2 per cell]  4 Pb 3.39, 4 Ca 3.64
Gd 0.0000 0.0000 0.2987 [2 per cell]  4 Pb 3.35, 4 Gd 3.64
Pb 0.0000 0.0000 0.6518 [2 per cell]  4 Gd 3.35, 4 Ca 3.39, 4 Pb 3.64

- density of states at the Fermi level (states/eV/atom) = 1.084
- total moment (μB per formula unit) = 7.546

=====

<x>
CaGdPb: relaxed, GGA-PBE.

Lattice parameters (Å, degrees): 7.5171 7.5171 7.5171 90.00 90.00 90.00
Last column: nearest neighbours and their distance in Å.
Space group F-43m (No. 216)
Inequivalent atoms, fractional coordinates:
Ca 0.0000 0.0000 0.0000 [4 per cell]  4 Pb 3.25
Gd 0.0000 0.0000 0.5000 [4 per cell]  4 Pb 3.25
Pb 0.2500 0.2500 0.2500 [4 per cell]  4 Gd 3.25, 4 Ca 3.25

- density of states at the Fermi level (states/eV/atom) = 1.842
- total moment (μB per formula unit) = 7.287

=====

<y>
CaGdPb: relaxed, GGA-PBE.

Lattice parameters (Å, degrees): 5.3672 5.3672 3.8289 90.00 90.00 120.00
Last column: nearest neighbours and their distance in Å.
Space group P3m1 (No. 156)
Inequivalent atoms, fractional coordinates:
Ca 0.0000 0.0000 0.0000 [1 per cell]  3 Pb 3.27, 3 Gd 3.56
Gd 0.6667 0.3333 0.5435 [1 per cell]  3 Pb 3.27, 3 Ca 3.56
Pb 0.3333 0.6667 0.2704 [1 per cell]  3 Ca 3.27, 3 Gd 3.27

- density of states at the Fermi level (states/eV/atom) = 1.515
- total moment (μB per formula unit) = 7.663

=====

Which structure is most stable? <x>, by 0.6 kJ/mol of atoms over the runner-up.

=====

<w>
CaGd2Pb: relaxed, GGA-PBE.

Lattice parameters (Å, degrees): 4.2580 4.2580 6.9490 90.00 90.00 90.00
Last column: nearest neighbours and their distance in Å.
Space group P4/mmm (No. 123)
Inequivalent atoms, fractional coordinates:
Ca 0.0000 0.0000 0.0000 [1 per cell]  2 Pb 3.47, 8 Gd 3.56
Gd 0.5000 0.5000 0.2733 [2 per cell]  1 Gd 3.15, 4 Pb 3.40
Pb 0.0000 0.0000 0.5000 [1 per cell]  8 Gd 3.40, 2 Ca 3.47

- density of states at the Fermi level (states/eV/atom) = 0.968
- total moment (μB per formula unit) = 15.262

=====

<x>
CaGd2Pb: relaxed, GGA-PBE.

Lattice parameters (Å, degrees): 4.9364 4.9364 4.9852 90.00 90.00 90.00
Last column: nearest neighbours and their distance in Å.
Space group P4/mmm (No. 123)
Inequivalent atoms, fractional coordinates:
Ca 0.0000 0.0000 0.0000 [1 per cell]  4 Pb 3.49, 8 Gd 3.51
Gd 0.0000 0.5000 0.5000 [2 per cell]  4 Gd 3.49, 4 Pb 3.51, 4 Ca 3.51
Pb 0.5000 0.5000 0.0000 [1 per cell]  4 Ca 3.49, 8 Gd 3.51

- density of states at the Fermi level (states/eV/atom) = 1.755
- total moment (μB per formula unit) = 15.329

=====

<y>
CaGd2Pb: relaxed, GGA-PBE.

Lattice parameters (Å, degrees): 7.8957 7.8957 7.8957 90.00 90.00 90.00
Last column: nearest neighbours and their distance in Å.
Space group Fm-3m (No. 225)
Inequivalent atoms, fractional coordinates:
Ca 0.0000 0.0000 0.0000 [4 per cell]  8 Gd 3.42
Gd 0.2500 0.2500 0.2500 [8 per cell]  4 Pb 3.42, 4 Ca 3.42
Pb 0.0000 0.0000 0.5000 [4 per cell]  8 Gd 3.42

- density of states at the Fermi level (states/eV/atom) = 1.813
- total moment (μB per formula unit) = 15.558

=====

Which structure is most stable? <x>, by 7.0 kJ/mol of atoms over the runner-up.

=====

<w>
CaGdPd: relaxed, GGA-PBE.

Lattice parameters (Å, degrees): 3.5780 3.5780 12.9428 90.00 90.00 90.00
Last column: nearest neighbours and their distance in Å.
Space group I4mm (No. 107)
Inequivalent atoms, fractional coordinates:
Ca 0.0000 0.0000 0.0000 [2 per cell]  4 Pd 3.16, 1 Gd 3.41
Gd 0.0000 0.0000 0.2638 [2 per cell]  4 Pd 2.95
Pd 0.0000 0.0000 0.6460 [2 per cell]  4 Gd 2.95, 4 Ca 3.16

- density of states at the Fermi level (states/eV/atom) = 1.007
- total moment (μB per formula unit) = 7.309

=====

<x>
CaGdPd: relaxed, GGA-PBE.

Lattice parameters (Å, degrees): 7.0148 7.0148 7.0148 90.00 90.00 90.00
Last column: nearest neighbours and their distance in Å.
Space group F-43m (No. 216)
Inequivalent atoms, fractional coordinates:
Ca 0.0000 0.0000 0.0000 [4 per cell]  4 Pd 3.04
Gd 0.0000 0.0000 0.5000 [4 per cell]  4 Pd 3.04
Pd 0.2500 0.2500 0.7500 [4 per cell]  4 Gd 3.04, 4 Ca 3.04

- density of states at the Fermi level (states/eV/atom) = 1.679
- total moment (μB per formula unit) = 7.243

=====

Which structure is most stable? <w>, by 6.2 kJ/mol of atoms over the runner-up.

=====

<w>
Ca2GdPd: relaxed, GGA-PBE.

Lattice parameters (Å, degrees): 3.5825 3.5825 9.1413 90.00 90.00 90.00
Last column: nearest neighbours and their distance in Å.
Space group P4/mmm (No. 123)
Inequivalent atoms, fractional coordinates:
Ca 0.0000 0.0000 0.1861 [2 per cell]  4 Pd 3.05, 1 Ca 3.40
Gd 0.5000 0.5000 0.5000 [1 per cell]  4 Gd 3.58, 8 Ca 3.83
Pd 0.5000 0.5000 0.0000 [1 per cell]  8 Ca 3.05

- density of states at the Fermi level (states/eV/atom) = 1.468
- total moment (μB per formula unit) = 7.784

=====

<x>
Ca2GdPd: relaxed, GGA-PBE.

Lattice parameters (Å, degrees): 3.7100 3.7100 32.4248 90.00 90.00 120.00
Last column: nearest neighbours and their distance in Å.
Space group R-3m (No. 166, hexagonal axes)
Inequivalent atoms, fractional coordinates:
Ca 0.0000 0.0000 0.1086 [6 per cell]  3 Pd 2.85
Gd 0.0000 0.0000 0.0000 [3 per cell]  2 Ca 3.52, 6 Gd 3.71
Pd 0.0000 0.0000 0.5000 [3 per cell]  6 Ca 2.85

- density of states at the Fermi level (states/eV/atom) = 1.511
- total moment (μB per formula unit) = 7.865

=====

Which structure is most stable? <w>, by 19.7 kJ/mol of atoms over the runner-up.